Material: Nd2BPd5
Method: DFT, PBE
State: relaxed

Properties
For the energy of formation from the pure elements, the calculation gives -0.64 eV per atom. As for the density of states at the Fermi level: 1.4 states/eV/f.u. The final energy comes out at -5.915 eV per atom. The magnetization comes out at 0.0 μB/f.u.

Structure (CIF):
```
data_Nd2BPd5
_chemical_formula_sum 'Nd4 B2 Pd10'
_cell_length_a 5.811
_cell_length_b 5.811
_cell_length_c 9.198
_cell_angle_alpha 90.00
_cell_angle_beta 90.00
_cell_angle_gamma 90.00
_space_group_name_H-M_alt 'I 4 m m'
_space_group_IT_number 107
_space_group_name_Hall 'I 4 -2'
loop_
_atom_site_label
_atom_site_type_symbol
_atom_site_fract_x
_atom_site_fract_y
_atom_site_fract_z
Nd1 Nd 0.000 0.500 0.000
B1 B 0.000 0.000 0.305
Pd1 Pd 0.000 0.000 0.539
Pd2 Pd 0.248 0.248 0.752
```